Hf3Al2Co6 | Alexandria via LeMat-Bulk | PBE | optimized geometry; formation energy from the elements = -0.49 eV/atom; V = 14.0 Å³ per atom; space-group type = Im-3m (229); magnetization = 0.00 μB/f.u.
1.0
-4.2573 4.2573 4.2573
4.2573 -4.2573 4.2573
4.2573 4.2573 -4.2573
Hf Al Co
6 4 12
Cartesian
2.4409 0.0000 0.0000 Hf
6.0736 0.0000 0.0000 Hf
0.0000 2.4409 0.0000 Hf
0.0000 0.0000 2.4409 Hf
0.0000 6.0736 0.0000 Hf
0.0000 0.0000 6.0736 Hf
2.1286 2.1286 -2.1286 Al
2.1286 -2.1286 2.1286 Al
-2.1286 2.1286 2.1286 Al
2.1286 2.1286 2.1286 Al
4.2573 1.2981 -1.2981 Co
4.2573 -1.2981 1.2981 Co
4.2573 1.2981 1.2981 Co
1.2981 4.2573 -1.2981 Co
2.9592 2.9592 0.0000 Co
1.2981 -1.2981 4.2573 Co
2.9592 0.0000 2.9592 Co
-1.2981 4.2573 1.2981 Co
1.2981 4.2573 1.2981 Co
-1.2981 1.2981 4.2573 Co
1.2981 1.2981 4.2573 Co
0.0000 2.9592 2.9592 Co